Nd3YAg4 after structural relaxation. Source: Alexandria, functional PBE.

a = 3.7127 Å, b = 3.7127 Å, c = 15.0392 Å
α = 90.00°, β = 90.00°, γ = 90.00°
Positions (direct):
Y 0.5000 0.5000 0.0000
Nd 0.5000 0.5000 0.2462
Nd 0.5000 0.5000 0.5000
Nd 0.5000 0.5000 0.7538
Ag 0.0000 0.0000 0.8846
Ag 0.0000 0.0000 0.1154
Ag 0.0000 0.0000 0.3734
Ag 0.0000 0.0000 0.6266

Values from the calculation:
- total magnetization (μB per atom) = 0.0000
- formation energy (eV/atom) = -0.276

UP2Rh after structural relaxation. Source: Alexandria, functional PBE.

a = 3.8518 Å, b = 3.8518 Å, c = 9.3597 Å
α = 101.87°, β = 101.87°, γ = 90.00°
Site moments in Bohr magnetons follow the coordinates.
Positions (direct):
U 0.1105 0.1105 0.2210  0.78
U 0.8895 0.8895 0.7790  0.78
P 0.3353 0.3353 0.6705  -0.01
P 0.6647 0.6647 0.3295  -0.01
P 0.5000 0.0000 0.0000  -0.03
P 0.0000 0.5000 0.0000  -0.03
Rh 0.7500 0.2500 0.5000  0.01
Rh 0.2500 0.7500 0.5000  0.01

Values from the calculation:
- total magnetization (μB per atom) = 0.1999
- formation energy (eV/atom) = -0.833

Mg2In6Hg after structural relaxation. Source: Alexandria, functional PBE.

a = 3.2501 Å, b = 9.0324 Å, c = 9.3856 Å
α = 60.44°, β = 80.03°, γ = 79.64°
Positions (direct):
Mg 0.1727 0.8341 0.8206
Mg 0.8273 0.1659 0.1794
In 0.8198 0.5357 0.8247
In 0.1802 0.4643 0.1753
In 0.0083 0.8230 0.1604
In 0.3427 0.8469 0.4678
In 0.9917 0.1770 0.8396
In 0.6573 0.1531 0.5322
Hg 0.0000 0.5000 0.5000

Values from the calculation:
- total magnetization (μB per atom) = 0.0000
- formation energy (eV/atom) = 0.015